[1]
Entry from Alexandria via LeMat-Bulk: a relaxed CuTc2Se crystal (PBE).

```
data_CuTc2Se
_chemical_formula_sum 'Cu1 Tc2 Se1'
_symmetry_space_group_name_H-M 'P 1'
_symmetry_Int_Tables_number 1
_cell_length_a 3.102
_cell_length_b 4.350
_cell_length_c 4.399
_cell_angle_alpha 90.00
_cell_angle_beta 90.00
_cell_angle_gamma 90.00
loop_
_symmetry_equiv_pos_as_xyz
'x,y,z'
loop_
_atom_site_label
_atom_site_type_symbol
_atom_site_fract_x
_atom_site_fract_y
_atom_site_fract_z
_atom_site_occupancy
Cu1 Cu 0.000 0.000 0.000 1
Tc1 Tc 0.000 0.500 0.500 1
Tc2 Tc 0.500 0.000 0.500 1
Se1 Se 0.500 0.500 0.000 1
```

Computed properties:
Final energy ... -6.558 eV per atom
Raw formation energy ... 520 meV per atom
Space group ... Pmmm, No. 47



[2]
Entry from Alexandria via LeMat-Bulk: a relaxed K5GaP2 crystal (PBE).

```
data_K5GaP2
_chemical_formula_sum 'K5 Ga1 P2'
_symmetry_space_group_name_H-M 'P 1'
_symmetry_Int_Tables_number 1
_cell_length_a 14.724
_cell_length_b 14.724
_cell_length_c 14.724
_cell_angle_alpha 21.76
_cell_angle_beta 21.76
_cell_angle_gamma 21.76
loop_
_symmetry_equiv_pos_as_xyz
'x,y,z'
loop_
_atom_site_label
_atom_site_type_symbol
_atom_site_fract_x
_atom_site_fract_y
_atom_site_fract_z
_atom_site_occupancy
K1 K 0.000 0.000 0.000 1
K2 K 0.131 0.131 0.131 1
K3 K 0.254 0.254 0.254 1
K4 K 0.746 0.746 0.746 1
K5 K 0.869 0.869 0.869 1
Ga1 Ga 0.500 0.500 0.500 1
P1 P 0.449 0.449 0.449 1
P2 P 0.551 0.551 0.551 1
```

Computed properties:
Final energy ... -2.653 eV per atom
Space group ... R-3m, No. 166



[3]
Entry from Alexandria via LeMat-Bulk: a relaxed La3Pm8Pr3 crystal (PBE).

```
data_La3Pm8Pr3
_chemical_formula_sum 'La3 Pm8 Pr3'
_symmetry_space_group_name_H-M 'P 1'
_symmetry_Int_Tables_number 1
_cell_length_a 10.008
_cell_length_b 10.008
_cell_length_c 10.008
_cell_angle_alpha 146.16
_cell_angle_beta 113.32
_cell_angle_gamma 76.91
loop_
_symmetry_equiv_pos_as_xyz
'x,y,z'
loop_
_atom_site_label
_atom_site_type_symbol
_atom_site_fract_x
_atom_site_fract_y
_atom_site_fract_z
_atom_site_occupancy
La1 La 0.000 0.000 0.000 1
La2 La 0.306 0.000 0.306 1
La3 La 0.694 0.000 0.694 1
Pm1 Pm 0.060 0.221 0.839 1
Pm2 Pm 0.060 0.397 0.662 1
Pm3 Pm 0.265 0.603 0.662 1
Pm4 Pm 0.382 0.221 0.161 1
Pm5 Pm 0.618 0.779 0.839 1
Pm6 Pm 0.735 0.397 0.338 1
Pm7 Pm 0.940 0.603 0.338 1
Pm8 Pm 0.940 0.779 0.161 1
Pr1 Pr 0.314 0.814 0.500 1
Pr2 Pr 0.500 0.500 0.000 1
Pr3 Pr 0.686 0.186 0.500 1
```

Computed properties:
Final energy ... -4.696 eV per atom
Space group ... Immm, No. 71



[4]
Entry from Alexandria via LeMat-Bulk: a relaxed Nd12Y7Mg crystal (PBE).

```
data_Nd12Y7Mg
_chemical_formula_sum 'Nd12 Y7 Mg1'
_symmetry_space_group_name_H-M 'P 1'
_symmetry_Int_Tables_number 1
_cell_length_a 10.047
_cell_length_b 10.047
_cell_length_c 10.047
_cell_angle_alpha 109.47
_cell_angle_beta 109.47
_cell_angle_gamma 109.47
loop_
_symmetry_equiv_pos_as_xyz
'x,y,z'
loop_
_atom_site_label
_atom_site_type_symbol
_atom_site_fract_x
_atom_site_fract_y
_atom_site_fract_z
_atom_site_occupancy
Nd1 Nd 0.001 0.245 0.756 1
Nd2 Nd 0.244 0.488 0.245 1
Nd3 Nd 0.244 0.999 0.755 1
Nd4 Nd 0.245 0.244 0.488 1
Nd5 Nd 0.245 0.756 0.001 1
Nd6 Nd 0.488 0.245 0.244 1
Nd7 Nd 0.512 0.755 0.756 1
Nd8 Nd 0.755 0.244 0.999 1
Nd9 Nd 0.755 0.756 0.512 1
Nd10 Nd 0.756 0.001 0.245 1
Nd11 Nd 0.756 0.512 0.755 1
Nd12 Nd 0.999 0.755 0.244 1
Y1 Y 0.000 0.000 0.500 1
Y2 Y 0.000 0.500 0.000 1
Y3 Y 0.000 0.500 0.500 1
Y4 Y 0.500 0.000 0.000 1
Y5 Y 0.500 0.000 0.500 1
Y6 Y 0.500 0.500 0.000 1
Y7 Y 0.500 0.500 0.500 1
Mg1 Mg 0.000 0.000 0.000 1
```

Computed properties:
Final energy ... -4.514 eV per atom
Space group ... Im-3, No. 204



[5]
Entry from Alexandria via LeMat-Bulk: a relaxed AcSn2PbAu5 crystal (PBE).

```
data_AcSn2PbAu5
_chemical_formula_sum 'Ac1 Sn2 Pb1 Au5'
_symmetry_space_group_name_H-M 'P 1'
_symmetry_Int_Tables_number 1
_cell_length_a 5.006
_cell_length_b 5.006
_cell_length_c 9.260
_cell_angle_alpha 90.00
_cell_angle_beta 90.00
_cell_angle_gamma 90.00
loop_
_symmetry_equiv_pos_as_xyz
'x,y,z'
loop_
_atom_site_label
_atom_site_type_symbol
_atom_site_fract_x
_atom_site_fract_y
_atom_site_fract_z
_atom_site_occupancy
Ac1 Ac 0.000 0.000 0.000 1
Sn1 Sn 0.500 0.500 0.339 1
Sn2 Sn 0.500 0.500 0.661 1
Pb1 Pb 0.000 0.000 0.500 1
Au1 Au 0.000 0.500 0.217 1
Au2 Au 0.000 0.500 0.783 1
Au3 Au 0.500 0.000 0.217 1
Au4 Au 0.500 0.000 0.783 1
Au5 Au 0.500 0.500 0.000 1
```

Computed properties:
Final energy ... -3.834 eV per atom
Space group ... P4/mmm, No. 123



[6]
Entry from Alexandria via LeMat-Bulk: a relaxed ScInBr2 crystal (PBE).

```
data_ScInBr2
_chemical_formula_sum 'Sc1 In1 Br2'
_symmetry_space_group_name_H-M 'P 1'
_symmetry_Int_Tables_number 1
_cell_length_a 5.364
_cell_length_b 5.364
_cell_length_c 3.703
_cell_angle_alpha 90.00
_cell_angle_beta 90.00
_cell_angle_gamma 90.00
loop_
_symmetry_equiv_pos_as_xyz
'x,y,z'
loop_
_atom_site_label
_atom_site_type_symbol
_atom_site_fract_x
_atom_site_fract_y
_atom_site_fract_z
_atom_site_occupancy
Sc1 Sc 0.000 0.000 0.000 1
In1 In 0.500 0.500 0.000 1
Br1 Br 0.000 0.500 0.500 1
Br2 Br 0.500 0.000 0.500 1
```

Computed properties:
Final energy ... -3.539 eV per atom
Raw formation energy ... -435 meV per atom
Space group ... P4/mmm, No. 123



[7]
Entry from Alexandria via LeMat-Bulk: a relaxed BeRu2 crystal (PBE).

```
data_BeRu2
_chemical_formula_sum 'Be2 Ru4'
_symmetry_space_group_name_H-M 'P 1'
_symmetry_Int_Tables_number 1
_cell_length_a 4.650
_cell_length_b 4.650
_cell_length_c 6.480
_cell_angle_alpha 111.85
_cell_angle_beta 111.85
_cell_angle_gamma 34.27
loop_
_symmetry_equiv_pos_as_xyz
'x,y,z'
loop_
_atom_site_label
_atom_site_type_symbol
_atom_site_fract_x
_atom_site_fract_y
_atom_site_fract_z
_atom_site_occupancy
Be1 Be 0.192 0.192 0.093 1
Be2 Be 0.808 0.808 0.907 1
Ru1 Ru 0.156 0.156 0.577 1
Ru2 Ru 0.497 0.497 0.794 1
Ru3 Ru 0.503 0.503 0.206 1
Ru4 Ru 0.844 0.844 0.423 1
```

Computed properties:
Final energy ... -7.496 eV per atom
Space group ... C2/m, No. 12



[8]
Entry from Alexandria via LeMat-Bulk: a relaxed Ba2HPd crystal (PBE).

```
data_Ba2HPd
_chemical_formula_sum 'Ba2 H1 Pd1'
_symmetry_space_group_name_H-M 'P 1'
_symmetry_Int_Tables_number 1
_cell_length_a 5.409
_cell_length_b 5.409
_cell_length_c 5.409
_cell_angle_alpha 60.00
_cell_angle_beta 60.00
_cell_angle_gamma 60.00
loop_
_symmetry_equiv_pos_as_xyz
'x,y,z'
loop_
_atom_site_label
_atom_site_type_symbol
_atom_site_fract_x
_atom_site_fract_y
_atom_site_fract_z
_atom_site_occupancy
Ba1 Ba 0.250 0.250 0.250 1
Ba2 Ba 0.750 0.750 0.750 1
H1 H 0.000 0.000 0.000 1
Pd1 Pd 0.500 0.500 0.500 1
```

Computed properties:
Final energy ... -3.366 eV per atom
Space group ... Fm-3m, No. 225



[9]
Entry from Alexandria via LeMat-Bulk: a relaxed Bi5HPd3 crystal (PBE).

```
data_Bi5HPd3
_chemical_formula_sum 'Bi10 H2 Pd6'
_symmetry_space_group_name_H-M 'P 1'
_symmetry_Int_Tables_number 1
_cell_length_a 7.514
_cell_length_b 7.514
_cell_length_c 8.606
_cell_angle_alpha 100.68
_cell_angle_beta 100.68
_cell_angle_gamma 71.48
loop_
_symmetry_equiv_pos_as_xyz
'x,y,z'
loop_
_atom_site_label
_atom_site_type_symbol
_atom_site_fract_x
_atom_site_fract_y
_atom_site_fract_z
_atom_site_occupancy
Bi1 Bi 0.046 0.046 0.346 1
Bi2 Bi 0.121 0.559 0.331 1
Bi3 Bi 0.194 0.806 0.000 1
Bi4 Bi 0.278 0.278 0.885 1
Bi5 Bi 0.441 0.879 0.669 1
Bi6 Bi 0.559 0.121 0.331 1
Bi7 Bi 0.722 0.722 0.115 1
Bi8 Bi 0.806 0.194 0.000 1
Bi9 Bi 0.879 0.441 0.669 1
Bi10 Bi 0.954 0.954 0.654 1
H1 H 0.412 0.412 0.635 1
H2 H 0.588 0.588 0.365 1
Pd1 Pd 0.192 0.192 0.150 1
Pd2 Pd 0.267 0.267 0.536 1
Pd3 Pd 0.500 0.500 0.000 1
Pd4 Pd 0.500 0.500 0.500 1
Pd5 Pd 0.733 0.733 0.464 1
Pd6 Pd 0.808 0.808 0.850 1
```

Computed properties:
Final energy ... -4.304 eV per atom
Space group ... C2/m, No. 12



[10]
Entry from Alexandria via LeMat-Bulk: a relaxed Pr3Dy6Ho2 crystal (PBE).

```
data_Pr3Dy6Ho2
_chemical_formula_sum 'Pr3 Dy6 Ho2'
_symmetry_space_group_name_H-M 'P 1'
_symmetry_Int_Tables_number 1
_cell_length_a 6.730
_cell_length_b 6.730
_cell_length_c 10.446
_cell_angle_alpha 90.02
_cell_angle_beta 90.02
_cell_angle_gamma 129.45
loop_
_symmetry_equiv_pos_as_xyz
'x,y,z'
loop_
_atom_site_label
_atom_site_type_symbol
_atom_site_fract_x
_atom_site_fract_y
_atom_site_fract_z
_atom_site_occupancy
Pr1 Pr 0.000 0.000 0.000 1
Pr2 Pr 0.294 0.706 0.000 1
Pr3 Pr 0.706 0.294 0.000 1
Dy1 Dy 0.149 0.850 0.306 1
Dy2 Dy 0.150 0.851 0.694 1
Dy3 Dy 0.500 0.500 0.213 1
Dy4 Dy 0.500 0.500 0.787 1
Dy5 Dy 0.850 0.149 0.306 1
Dy6 Dy 0.851 0.150 0.694 1
Ho1 Ho 0.368 0.632 0.500 1
Ho2 Ho 0.632 0.368 0.500 1
```

Computed properties:
Final energy ... -4.488 eV per atom
Space group ... C2/m, No. 12



[11]
Entry from Alexandria via LeMat-Bulk: a relaxed Pu2PaAl crystal (PBE).

```
data_Pu2PaAl
_chemical_formula_sum 'Pu2 Pa1 Al1'
_symmetry_space_group_name_H-M 'P 1'
_symmetry_Int_Tables_number 1
_cell_length_a 3.789
_cell_length_b 3.789
_cell_length_c 6.385
_cell_angle_alpha 90.00
_cell_angle_beta 90.00
_cell_angle_gamma 90.00
loop_
_symmetry_equiv_pos_as_xyz
'x,y,z'
loop_
_atom_site_label
_atom_site_type_symbol
_atom_site_fract_x
_atom_site_fract_y
_atom_site_fract_z
_atom_site_occupancy
Pu1 Pu 0.000 0.000 0.235 1
Pu2 Pu 0.000 0.000 0.765 1
Pa1 Pa 0.500 0.500 0.500 1
Al1 Al 0.500 0.500 0.000 1
```

Computed properties:
Final energy ... -10.456 eV per atom
Space group ... P4/mmm, No. 123